Entry from Alexandria via LeMat-Bulk: Ca3Sm2NpAs6 after structural relaxation (PBE).

Unit cell a=7.2788 b=7.2788 c=7.2889 alpha=99.62 beta=99.62 gamma=119.97
Last column: nearest neighbours and their distance in Å.
Element x y z (fractional)
1 Ca 0.1707 0.8293 0.5000  6 As 2.99-3.10
2 Ca 0.8293 0.1707 0.5000  6 As 2.99-3.10
3 Ca 0.5000 0.5000 0.5000  6 As 2.99-3.16
4 Sm 0.3339 0.6661 0.0000  6 As 2.96-2.97
5 Sm 0.6661 0.3339 0.0000  6 As 2.96-2.97
6 Np 0.0000 0.0000 0.0000  6 As 2.79-2.81
7 As 0.9222 0.6062 0.7655  1 Np 2.81, 2 Sm 2.97, 3 Ca 2.99-3.10
8 As 0.7640 0.7640 0.2326  1 Np 2.79, 2 Sm 2.96, 2 Ca 3.02
9 As 0.0778 0.3938 0.2345  1 Np 2.81, 2 Sm 2.97, 3 Ca 2.99-3.10
10 As 0.6062 0.9222 0.7655  1 Np 2.81, 2 Sm 2.97, 3 Ca 2.99-3.10
11 As 0.2360 0.2360 0.7674  1 Np 2.79, 2 Sm 2.96, 2 Ca 3.02
12 As 0.3938 0.0778 0.2345  1 Np 2.81, 2 Sm 2.97, 3 Ca 2.99-3.10

Results
The formation enthalpy at 0 K comes out at -1.150 eV/atom. As for the space group: No. 12.

Entry from Alexandria via LeMat-Bulk: Ca3Np2TaAs6 after structural relaxation (PBE).

Unit cell a=7.0128 b=7.0128 c=7.2163 alpha=99.37 beta=99.37 gamma=120.03
Last column: nearest neighbours and their distance in Å.
Element x y z (fractional)
1 Ca 0.1707 0.8293 0.5000  6 As 2.95-3.05
2 Ca 0.8293 0.1707 0.5000  6 As 2.95-3.05
3 Ca 0.5000 0.5000 0.5000  6 As 2.95-3.09
4 Np 0.3341 0.6659 0.0000  6 As 2.85
5 Np 0.6659 0.3341 0.0000  6 As 2.85
6 Ta 0.0000 0.0000 0.0000  6 As 2.70
7 As 0.9249 0.6079 0.7741  1 Ta 2.70, 2 Np 2.85, 2 Ca 2.95
8 As 0.7604 0.7604 0.2276  1 Ta 2.70, 2 Np 2.85, 2 Ca 2.97
9 As 0.0751 0.3921 0.2259  1 Ta 2.70, 2 Np 2.85, 2 Ca 2.95
10 As 0.6079 0.9249 0.7741  1 Ta 2.70, 2 Np 2.85, 2 Ca 2.95
11 As 0.2396 0.2396 0.7724  1 Ta 2.70, 2 Np 2.85, 2 Ca 2.97
12 As 0.3921 0.0751 0.2259  1 Ta 2.70, 2 Np 2.85, 2 Ca 2.95

Results
The formation enthalpy at 0 K comes out at -0.850 eV/atom. As for the space group: No. 12.

Entry from Alexandria via LeMat-Bulk: Ca3Tb2NpAs6 after structural relaxation (PBE).

Unit cell a=7.2096 b=7.2096 c=7.2688 alpha=99.52 beta=99.52 gamma=119.97
Last column: nearest neighbours and their distance in Å.
Element x y z (fractional)
1 Ca 0.1701 0.8299 0.5000  6 As 2.99-3.08
2 Ca 0.8299 0.1701 0.5000  6 As 2.99-3.08
3 Ca 0.5000 0.5000 0.5000  6 As 2.99-3.12
4 Tb 0.3338 0.6662 0.0000  6 As 2.92-2.93
5 Tb 0.6662 0.3338 0.0000  6 As 2.92-2.93
6 Np 0.0000 0.0000 0.0000  6 As 2.78-2.80
7 As 0.9230 0.6037 0.7678  1 Np 2.80, 2 Tb 2.93, 3 Ca 2.99-3.08
8 As 0.7596 0.7596 0.2307  1 Np 2.78, 2 Tb 2.92, 2 Ca 3.02
9 As 0.0770 0.3963 0.2322  1 Np 2.80, 2 Tb 2.93, 3 Ca 2.99-3.08
10 As 0.6037 0.9230 0.7678  1 Np 2.80, 2 Tb 2.93, 3 Ca 2.99-3.08
11 As 0.2404 0.2404 0.7693  1 Np 2.78, 2 Tb 2.92, 2 Ca 3.02
12 As 0.3963 0.0770 0.2322  1 Np 2.80, 2 Tb 2.93, 3 Ca 2.99-3.08

Results
The formation enthalpy at 0 K comes out at -1.159 eV/atom. As for the space group: No. 12.

Entry from Alexandria via LeMat-Bulk: CaTb2NpAs4 after structural relaxation (PBE).

Unit cell a=4.1473 b=7.1704 c=7.1743 alpha=108.99 beta=90.00 gamma=90.00
Last column: nearest neighbours and their distance in Å.
Element x y z (fractional)
1 Ca 0.5000 0.5000 0.0000  6 As 2.95-2.97
2 Tb 0.5000 0.0000 0.5000  6 As 2.89-2.91
3 Tb 0.0000 0.5000 0.5000  6 As 2.97-2.98
4 Np 0.0000 0.0000 0.0000  6 As 2.86-2.91
5 As 0.5000 0.2432 0.2478  3 Tb 2.89-2.97, 2 Np 2.91, 1 Ca 2.95
6 As 0.5000 0.7568 0.7522  3 Tb 2.89-2.97, 2 Np 2.91, 1 Ca 2.95
7 As 0.0000 0.2393 0.7503  1 Np 2.86, 3 Tb 2.91-2.98, 2 Ca 2.97
8 As 0.0000 0.7607 0.2497  1 Np 2.86, 3 Tb 2.91-2.98, 2 Ca 2.97

Results
The formation enthalpy at 0 K comes out at -1.198 eV/atom. As for the space group: No. 10.

Entry from Alexandria via LeMat-Bulk: Ca2ThNpAs4 after structural relaxation (PBE).

Unit cell a=4.2446 b=7.3357 c=7.3009 alpha=109.63 beta=90.00 gamma=90.00
Last column: nearest neighbours and their distance in Å.
Element x y z (fractional)
1 Ca 0.5000 0.0000 0.5000  6 As 3.02
2 Ca 0.0000 0.5000 0.5000  6 As 3.08
3 Th 0.5000 0.5000 0.0000  6 As 2.97
4 Np 0.0000 0.0000 0.0000  6 As 2.90
5 As 0.5000 0.2368 0.2326  2 Np 2.90, 1 Th 2.97, 3 Ca 3.02-3.08
6 As 0.5000 0.7632 0.7674  2 Np 2.90, 1 Th 2.97, 3 Ca 3.02-3.08
7 As 0.0000 0.2467 0.7617  1 Np 2.90, 2 Th 2.97, 3 Ca 3.02-3.08
8 As 0.0000 0.7533 0.2383  1 Np 2.90, 2 Th 2.97, 3 Ca 3.02-3.08

Results
The formation enthalpy at 0 K comes out at -1.118 eV/atom. As for the space group: No. 10.

Entry from Alexandria via LeMat-Bulk: CaTh2NpAs4 after structural relaxation (PBE).

Unit cell a=4.2358 b=7.3430 c=7.2720 alpha=109.57 beta=90.00 gamma=90.00
Last column: nearest neighbours and their distance in Å.
Element x y z (fractional)
1 Ca 0.5000 0.5000 0.0000  6 As 2.98-3.00
2 Th 0.5000 0.0000 0.5000  6 As 2.98-2.99
3 Th 0.0000 0.5000 0.5000  6 As 3.01-3.02
4 Np 0.0000 0.0000 0.0000  6 As 2.96
5 As 0.5000 0.2449 0.2442  2 Np 2.96, 1 Ca 2.98, 3 Th 2.99-3.02
6 As 0.5000 0.7551 0.7558  2 Np 2.96, 1 Ca 2.98, 3 Th 2.99-3.02
7 As 0.0000 0.2462 0.7504  1 Np 2.96, 3 Th 2.98-3.01, 2 Ca 3.00
8 As 0.0000 0.7538 0.2496  1 Np 2.96, 3 Th 2.98-3.01, 2 Ca 3.00

Results
The formation enthalpy at 0 K comes out at -1.186 eV/atom. As for the space group: No. 10.

Entry from Alexandria via LeMat-Bulk: Ca3Np2TiAs6 after structural relaxation (PBE).

Unit cell a=7.0298 b=7.0298 c=7.1992 alpha=99.40 beta=99.40 gamma=120.01
Last column: nearest neighbours and their distance in Å.
Element x y z (fractional)
1 Ca 0.1697 0.8303 0.5000  6 As 2.97-3.06
2 Ca 0.8303 0.1697 0.5000  6 As 2.97-3.06
3 Ca 0.5000 0.5000 0.5000  6 As 2.97-3.09
4 Np 0.3339 0.6661 0.0000  6 As 2.84
5 Np 0.6661 0.3339 0.0000  6 As 2.84
6 Ti 0.0000 0.0000 0.0000  6 As 2.70-2.71
7 As 0.9258 0.6071 0.7768  1 Ti 2.70, 2 Np 2.84, 2 Ca 2.97
8 As 0.7572 0.7572 0.2247  1 Ti 2.71, 2 Np 2.84, 2 Ca 2.98
9 As 0.0742 0.3929 0.2232  1 Ti 2.70, 2 Np 2.84, 2 Ca 2.97
10 As 0.6071 0.9258 0.7768  1 Ti 2.70, 2 Np 2.84, 2 Ca 2.97
11 As 0.2428 0.2428 0.7753  1 Ti 2.71, 2 Np 2.84, 2 Ca 2.98
12 As 0.3929 0.0742 0.2232  1 Ti 2.70, 2 Np 2.84, 2 Ca 2.97

Results
The formation enthalpy at 0 K comes out at -0.917 eV/atom. As for the space group: No. 12.

Entry from Alexandria via LeMat-Bulk: Ca2TmNpAs4 after structural relaxation (PBE).

Unit cell a=4.1700 b=7.1420 c=7.2298 alpha=109.19 beta=90.00 gamma=90.00
Last column: nearest neighbours and their distance in Å.
Element x y z (fractional)
1 Ca 0.5000 0.0000 0.5000  6 As 2.99-3.01
2 Ca 0.0000 0.5000 0.5000  6 As 3.05-3.06
3 Tm 0.5000 0.5000 0.0000  6 As 2.87-2.89
4 Np 0.0000 0.0000 0.0000  6 As 2.80-2.85
5 As 0.5000 0.2380 0.2282  2 Np 2.85, 1 Tm 2.87, 3 Ca 2.99-3.05
6 As 0.5000 0.7620 0.7718  2 Np 2.85, 1 Tm 2.87, 3 Ca 2.99-3.05
7 As 0.0000 0.2488 0.7705  1 Np 2.80, 2 Tm 2.89, 3 Ca 3.01-3.06
8 As 0.0000 0.7512 0.2295  1 Np 2.80, 2 Tm 2.89, 3 Ca 3.01-3.06

Results
The formation enthalpy at 0 K comes out at -1.087 eV/atom. As for the space group: No. 10.

Entry from Alexandria via LeMat-Bulk: CaTmNp2As4 after structural relaxation (PBE).

Unit cell a=4.1195 b=7.1328 c=7.1686 alpha=70.59 beta=90.00 gamma=90.00
Last column: nearest neighbours and their distance in Å.
Element x y z (fractional)
1 Ca 0.5000 0.5000 0.0000  6 As 2.96-2.98
2 Tm 0.0000 0.5000 0.5000  6 As 2.91-2.92
3 Np 0.0000 0.0000 0.0000  6 As 2.92
4 Np 0.5000 0.0000 0.5000  6 As 2.86-2.88
5 As 0.0000 0.7602 0.7404  3 Np 2.86-2.92, 1 Tm 2.92, 2 Ca 2.98
6 As 0.0000 0.2398 0.2596  3 Np 2.86-2.92, 1 Tm 2.92, 2 Ca 2.98
7 As 0.5000 0.7529 0.2543  3 Np 2.88-2.92, 2 Tm 2.91, 1 Ca 2.96
8 As 0.5000 0.2471 0.7457  3 Np 2.88-2.92, 2 Tm 2.91, 1 Ca 2.96

Results
The formation enthalpy at 0 K comes out at -0.963 eV/atom. As for the space group: No. 10.